The following is a GGA-PBE calculation of a relaxed structure of HgAu2I, from the Alexandria database.

Values from the calculation:
Its energy relative to the elements, uncorrected is 427 meV/atom. Its energy relative to the lowest polymorph listed for this composition is 147.9 meV/atom. The space group is Fm-3m.

Cell lengths 5.1275, 5.1275, 5.1275 Å; angles 60.00, 60.00, 60.00 degrees
Last column: nearest neighbours and their distance in Å.
Fractional coordinates of all 4 atoms:
Hg (0.0000, 0.0000, 0.0000)  8 Au 3.14
Au (0.2500, 0.2500, 0.2500)  4 Hg 3.14, 4 I 3.14
Au (0.7500, 0.7500, 0.7500)  4 Hg 3.14, 4 I 3.14
I (0.5000, 0.5000, 0.5000)  8 Au 3.14